A plane-wave DFT calculation with GGA-PBE was carried out for an optimized crystal structure of PPbSN2.

The structure in POSCAR format:
```
PPbSN2
1.0
3.7510 0.0000 0.0000
0.0000 3.7510 0.0000
0.0000 0.0000 4.7836
P Pb S N
1 1 1 2
direct
0.0000 0.0000 0.0000
0.5000 0.5000 0.5000
0.0000 0.0000 0.5000
0.0000 0.5000 0.0000
0.5000 0.0000 0.0000
```

Results
electronic total energy	-25.729	eV for the cell shown
energy relative to the elements, uncorrected	0.833	eV/atom
energy relative to the lowest polymorph listed for this composition	0.0	meV per atom
magnetization	0.107	μB per atom
space group	No. 123